1.
The following is a DFT calculation (PBE) of an optimized crystal structure of CePu5In2.

* energy of formation: -0.046 eV per atom
* Fermi-level density of states: 3.941 states/eV/atom

```
CePu5In2
1.0
6.418 0.000 0.000
-0.016 6.530 0.000
-3.201 -3.223 4.817
Ce Pu In
1 5 2
Direct
0.000 0.000 0.000
0.043 0.453 0.490
0.453 0.050 0.501
0.508 0.499 0.999
0.553 0.547 0.509
0.952 0.949 0.499
0.009 0.500 0.000
0.499 0.000 0.000
```

2.
The following is a DFT calculation (PBE) of an optimized crystal structure of BaDyY2.

* energy of formation: 0.153 eV per atom
* E above lowest polymorph: 0.00 eV/f.u.
* Fermi-level density of states: 1.486 states/eV/atom

```
BaDyY2
1.0
3.706 0.000 0.000
0.000 3.706 0.000
0.000 0.000 10.805
Ba Dy Y
1 1 2
Direct
0.000 0.000 0.000
0.000 0.000 0.500
0.500 0.500 0.284
0.500 0.500 0.716
```